[1]
VASP calculation (PBE) on FeCuAu after structural relaxation.

Computed properties:
- total magnetization (μB per cell) = 6.189
- crystal system = orthorhombic
- theoretical density (Mg/m³) = 12.32
- calculated total energy (eV/cell) = -30.89

Cell lengths 2.8057, 3.7036, 8.2100 Å; angles 90.00, 90.00, 90.00 degrees
Space group Imm2 (No. 44)
Symmetry-distinct sites (fractional):
Fe (0.0000, 0.0000, 0.0000) (multiplicity 2)
Cu (0.0000, 0.0000, 0.3452) (multiplicity 2)
Au (0.0000, 0.0000, 0.6733) (multiplicity 2)

=====

[2]
VASP calculation (PBE) on Fe2CuAu after structural relaxation.

Computed properties:
- total magnetization (μB per cell) = 11.235
- crystal system = monoclinic
- theoretical density (Mg/m³) = 11.26
- calculated total energy (eV/cell) = -47.12

Cell lengths 9.0054, 2.7573, 4.5009 Å; angles 90.00, 100.93, 90.00 degrees
Space group C2/m (No. 12)
Symmetry-distinct sites (fractional):
Fe (0.2476, 0.0000, 0.2298) (multiplicity 4)
Cu (0.0000, 0.5000, 0.0000) (multiplicity 2)
Au (0.0000, 0.0000, 0.5000) (multiplicity 2)

=====

[3]
VASP calculation (PBE) on FeCu2Au after structural relaxation.

Computed properties:
- total magnetization (μB per cell) = 2.721
- crystal system = tetragonal
- theoretical density (Mg/m³) = 11.58
- calculated total energy (eV/cell) = -19.51

Cell lengths 2.7281, 2.7281, 7.3210 Å; angles 90.00, 90.00, 90.00 degrees
Space group P4mm (No. 99)
Symmetry-distinct sites (fractional):
Fe (0.0000, 0.0000, 0.0000) (multiplicity 1)
Cu (0.0000, 0.0000, 0.5455) (multiplicity 1)
Cu (0.5000, 0.5000, 0.7705) (multiplicity 1)
Au (0.5000, 0.5000, 0.2737) (multiplicity 1)

=====

[4]
VASP calculation (PBE) on FeCu2Au after structural relaxation.

Computed properties:
- total magnetization (μB per cell) = 8.819
- crystal system = trigonal
- theoretical density (Mg/m³) = 11.30
- calculated total energy (eV/cell) = -57.57

Cell lengths 2.7318, 2.7318, 25.9196 Å; angles 90.00, 90.00, 120.00 degrees
Space group R-3m (No. 166, hexagonal axes)
Symmetry-distinct sites (fractional):
Fe (0.0000, 0.0000, 0.0000) (multiplicity 3)
Cu (0.0000, 0.0000, 0.2555) (multiplicity 6)
Au (0.0000, 0.0000, 0.5000) (multiplicity 3)

=====

[5]
VASP calculation (PBE) on FeCu2Au after structural relaxation.

Computed properties:
- total magnetization (μB per cell) = 2.808
- crystal system = orthorhombic
- theoretical density (Mg/m³) = 11.57
- calculated total energy (eV/cell) = -19.47

Cell lengths 2.7279, 3.5434, 5.6414 Å; angles 90.00, 90.00, 90.00 degrees
Space group Pmmm (No. 47)
Symmetry-distinct sites (fractional):
Fe (0.0000, 0.0000, 0.0000) (multiplicity 1)
Cu (0.5000, 0.5000, 0.2256) (multiplicity 2)
Au (0.0000, 0.0000, 0.5000) (multiplicity 1)

=====

[6]
VASP calculation (PBE) on Fe2CuAu after structural relaxation.

Computed properties:
- total magnetization (μB per cell) = 5.594
- crystal system = tetragonal
- theoretical density (Mg/m³) = 11.39
- calculated total energy (eV/cell) = -23.75

Cell lengths 3.7050, 3.7050, 3.9533 Å; angles 90.00, 90.00, 90.00 degrees
Space group P4/mmm (No. 123)
Symmetry-distinct sites (fractional):
Fe (0.0000, 0.5000, 0.0000) (multiplicity 2)
Cu (0.0000, 0.0000, 0.5000) (multiplicity 1)
Au (0.5000, 0.5000, 0.5000) (multiplicity 1)

=====

[7]
VASP calculation (PBE) on FeCu2Au after structural relaxation.

Computed properties:
- total magnetization (μB per cell) = 2.840
- crystal system = monoclinic
- theoretical density (Mg/m³) = 11.39
- calculated total energy (eV/cell) = -19.27

Cell lengths 2.6456, 4.3625, 4.8158 Å; angles 90.00, 94.74, 90.00 degrees
Space group P2/m (No. 10)
Symmetry-distinct sites (fractional):
Fe (0.0000, 0.0000, 0.0000) (multiplicity 1)
Cu (0.2402, 0.5000, 0.7695) (multiplicity 2)
Au (0.5000, 0.0000, 0.5000) (multiplicity 1)

=====

[8]
VASP calculation (PBE) on FeCuAu after structural relaxation.

Computed properties:
- total magnetization (μB per cell) = 2.907
- crystal system = trigonal
- theoretical density (Mg/m³) = 12.10
- calculated total energy (eV/cell) = -15.23

Cell lengths 2.7732, 2.7732, 6.5184 Å; angles 90.00, 90.00, 120.00 degrees
Space group P3m1 (No. 156)
Symmetry-distinct sites (fractional):
Fe (0.0000, 0.0000, 0.0000) (multiplicity 1)
Cu (0.6667, 0.3333, 0.3047) (multiplicity 1)
Au (0.3333, 0.6667, 0.6521) (multiplicity 1)

=====

[9]
VASP calculation (PBE) on Fe2CuAu after structural relaxation.

Computed properties:
- total magnetization (μB per cell) = 11.261
- crystal system = orthorhombic
- theoretical density (Mg/m³) = 11.26
- calculated total energy (eV/cell) = -47.48

Cell lengths 3.7842, 3.8013, 7.6308 Å; angles 90.00, 90.00, 90.00 degrees
Space group Cmm2 (No. 35)
Symmetry-distinct sites (fractional):
Fe (0.0000, 0.0000, 0.0000) (multiplicity 2)
Fe (0.0000, 0.5000, 0.2369) (multiplicity 2)
Cu (0.0000, 0.0000, 0.4639) (multiplicity 2)
Au (0.0000, 0.5000, 0.7321) (multiplicity 2)

=====

[10]
VASP calculation (PBE) on Fe4CuAu after structural relaxation.

Computed properties:
- total magnetization (μB per cell) = 35.734
- crystal system = cubic
- theoretical density (Mg/m³) = 10.40
- calculated total energy (eV/cell) = -159.70

Cell lengths 6.7619, 6.7619, 6.7619 Å; angles 90.00, 90.00, 90.00 degrees
Space group F-43m (No. 216)
Symmetry-distinct sites (fractional):
Fe (0.1243, 0.1243, 0.1243) (multiplicity 16)
Cu (0.2500, 0.2500, 0.7500) (multiplicity 4)
Au (0.0000, 0.0000, 0.5000) (multiplicity 4)

=====

[11]
VASP calculation (PBE) on Fe2CuAu after structural relaxation.

Computed properties:
- total magnetization (μB per cell) = 5.560
- crystal system = tetragonal
- theoretical density (Mg/m³) = 11.37
- calculated total energy (eV/cell) = -23.89

Cell lengths 3.0299, 3.0299, 5.9201 Å; angles 90.00, 90.00, 90.00 degrees
Space group P4mm (No. 99)
Symmetry-distinct sites (fractional):
Fe (0.0000, 0.0000, 0.0000) (multiplicity 1)
Fe (0.5000, 0.5000, 0.2114) (multiplicity 1)
Cu (0.5000, 0.5000, 0.7676) (multiplicity 1)
Au (0.0000, 0.0000, 0.4946) (multiplicity 1)

=====

[12]
VASP calculation (PBE) on FeCu2Au after structural relaxation.

Computed properties:
- total magnetization (μB per cell) = 6.090
- crystal system = tetragonal
- theoretical density (Mg/m³) = 11.51
- calculated total energy (eV/cell) = -38.90

Cell lengths 3.8438, 3.8438, 7.4164 Å; angles 90.00, 90.00, 90.00 degrees
Space group I-4m2 (No. 119)
Symmetry-distinct sites (fractional):
Fe (0.0000, 0.0000, 0.0000) (multiplicity 2)
Cu (0.0000, 0.0000, 0.5000) (multiplicity 2)
Cu (0.0000, 0.5000, 0.7500) (multiplicity 2)
Au (0.0000, 0.5000, 0.2500) (multiplicity 2)

=====

[13]
VASP calculation (PBE) on FeCu2Au after structural relaxation.

Computed properties:
- total magnetization (μB per cell) = 12.592
- crystal system = tetragonal
- theoretical density (Mg/m³) = 10.48
- calculated total energy (eV/cell) = -72.55

Cell lengths 6.8502, 6.8502, 5.1312 Å; angles 90.00, 90.00, 90.00 degrees
Space group I-42d (No. 122)
Symmetry-distinct sites (fractional):
Fe (0.0000, 0.0000, 0.0000) (multiplicity 4)
Cu (0.2340, 0.2500, 0.1250) (multiplicity 8)
Au (0.0000, 0.0000, 0.5000) (multiplicity 4)

=====

[14]
VASP calculation (PBE) on FeCuAu after structural relaxation.

Computed properties:
- total magnetization (μB per cell) = 11.423
- crystal system = monoclinic
- theoretical density (Mg/m³) = 12.09
- calculated total energy (eV/cell) = -60.80

Cell lengths 10.1505, 2.6945, 7.3372 Å; angles 90.00, 120.00, 90.00 degrees
Space group C2/m (No. 12)
Symmetry-distinct sites (fractional):
Fe (0.1197, 0.0000, 0.1586) (multiplicity 4)
Cu (0.1328, 0.5000, 0.4698) (multiplicity 4)
Au (0.1293, 0.0000, 0.7942) (multiplicity 4)